Record 1
# Pm4CdGa | the Alexandria database | PBE | relaxed
data_Pm4CdGa
_symmetry_space_group_name_H-M 'P 1'
_symmetry_Int_Tables_number 1
_cell_length_a 5.046
_cell_length_b 5.046
_cell_length_c 7.662
_cell_angle_alpha 90.00
_cell_angle_beta 90.00
_cell_angle_gamma 90.00
loop_
_symmetry_equiv_pos_as_xyz
'x,y,z'
loop_
_atom_site_label
_atom_site_type_symbol
_atom_site_fract_x
_atom_site_fract_y
_atom_site_fract_z
Pm1 Pm 0.000 0.500 0.236
Pm2 Pm 0.000 0.500 0.764
Pm3 Pm 0.500 0.000 0.236
Pm4 Pm 0.500 0.000 0.764
Cd1 Cd 0.000 0.000 0.500
Ga1 Ga 0.500 0.500 0.000
# - calculated formation energy (meV per atom) = -73
# - space-group type = P4/mmm (123)
# - raw total energy (eV per atom) = -3.90

---

Record 2
# La2SmZrAs4 | the Alexandria database | PBE | relaxed
data_La2SmZrAs4
_symmetry_space_group_name_H-M 'P 1'
_symmetry_Int_Tables_number 1
_cell_length_a 7.251
_cell_length_b 4.183
_cell_length_c 7.287
_cell_angle_alpha 90.00
_cell_angle_beta 109.19
_cell_angle_gamma 90.00
loop_
_symmetry_equiv_pos_as_xyz
'x,y,z'
loop_
_atom_site_label
_atom_site_type_symbol
_atom_site_fract_x
_atom_site_fract_y
_atom_site_fract_z
La1 La 0.000 0.000 0.000
La2 La 0.500 0.500 0.000
Sm1 Sm 0.000 0.500 0.500
Zr1 Zr 0.500 0.000 0.500
As1 As 0.256 0.000 0.734
As2 As 0.268 0.500 0.273
As3 As 0.732 0.500 0.727
As4 As 0.744 0.000 0.266
# - calculated formation energy (meV per atom) = -1435
# - space-group type = P2/m (10)
# - raw total energy (eV per atom) = -6.65

---

Record 3
# Al4InFe | the Alexandria database | PBE | relaxed
data_Al4InFe
_symmetry_space_group_name_H-M 'P 1'
_symmetry_Int_Tables_number 1
_cell_length_a 5.279
_cell_length_b 5.279
_cell_length_c 5.279
_cell_angle_alpha 60.00
_cell_angle_beta 60.00
_cell_angle_gamma 60.00
loop_
_symmetry_equiv_pos_as_xyz
'x,y,z'
loop_
_atom_site_label
_atom_site_type_symbol
_atom_site_fract_x
_atom_site_fract_y
_atom_site_fract_z
Al1 Al 0.124 0.124 0.124
Al2 Al 0.124 0.124 0.627
Al3 Al 0.124 0.627 0.124
Al4 Al 0.627 0.124 0.124
In1 In 0.500 0.500 0.500
Fe1 Fe 0.750 0.750 0.750
# - calculated formation energy (meV per atom) = 267
# - space-group type = F-43m (216)
# - raw total energy (eV per atom) = -4.10

---

Record 4
# Tb2Y2TmTh | the Alexandria database | PBE | relaxed
data_Tb2Y2TmTh
_symmetry_space_group_name_H-M 'P 1'
_symmetry_Int_Tables_number 1
_cell_length_a 6.984
_cell_length_b 5.612
_cell_length_c 9.780
_cell_angle_alpha 90.00
_cell_angle_beta 90.00
_cell_angle_gamma 90.00
loop_
_symmetry_equiv_pos_as_xyz
'x,y,z'
loop_
_atom_site_label
_atom_site_type_symbol
_atom_site_fract_x
_atom_site_fract_y
_atom_site_fract_z
Tb1 Tb 0.250 0.000 0.159
Tb2 Tb 0.250 0.500 0.675
Tb3 Tb 0.750 0.000 0.841
Tb4 Tb 0.750 0.500 0.325
Y1 Y 0.000 0.000 0.500
Y2 Y 0.250 0.500 0.342
Y3 Y 0.500 0.000 0.500
Y4 Y 0.750 0.500 0.658
Tm1 Tm 0.000 0.500 0.000
Tm2 Tm 0.500 0.500 0.000
Th1 Th 0.250 0.000 0.828
Th2 Th 0.750 0.000 0.172
# - calculated formation energy (meV per atom) = 90
# - space-group type = Pmma (51)
# - raw total energy (eV per atom) = -5.59

---

Record 5
# CdNi6 | the Alexandria database | PBE | relaxed
data_CdNi6
_symmetry_space_group_name_H-M 'P 1'
_symmetry_Int_Tables_number 1
_cell_length_a 7.635
_cell_length_b 4.761
_cell_length_c 9.687
_cell_angle_alpha 90.00
_cell_angle_beta 90.00
_cell_angle_gamma 90.00
loop_
_symmetry_equiv_pos_as_xyz
'x,y,z'
loop_
_atom_site_label
_atom_site_type_symbol
_atom_site_fract_x
_atom_site_fract_y
_atom_site_fract_z
Cd1 Cd 0.241 0.250 0.064
Cd2 Cd 0.259 0.750 0.564
Cd3 Cd 0.741 0.250 0.436
Cd4 Cd 0.759 0.750 0.936
Ni1 Ni 0.062 0.750 0.086
Ni2 Ni 0.064 0.008 0.307
Ni3 Ni 0.064 0.492 0.307
Ni4 Ni 0.103 0.250 0.520
Ni5 Ni 0.145 0.750 0.849
Ni6 Ni 0.186 0.250 0.761
Ni7 Ni 0.314 0.750 0.261
Ni8 Ni 0.355 0.250 0.349
Ni9 Ni 0.397 0.750 0.020
Ni10 Ni 0.436 0.508 0.807
Ni11 Ni 0.436 0.992 0.807
Ni12 Ni 0.438 0.250 0.586
Ni13 Ni 0.562 0.750 0.414
Ni14 Ni 0.564 0.008 0.193
Ni15 Ni 0.564 0.492 0.193
Ni16 Ni 0.603 0.250 0.980
Ni17 Ni 0.645 0.750 0.651
Ni18 Ni 0.686 0.250 0.739
Ni19 Ni 0.814 0.750 0.239
Ni20 Ni 0.855 0.250 0.151
Ni21 Ni 0.897 0.750 0.480
Ni22 Ni 0.936 0.508 0.693
Ni23 Ni 0.936 0.992 0.693
Ni24 Ni 0.938 0.250 0.914
# - calculated formation energy (meV per atom) = 131
# - space-group type = Pnma (62)
# - raw total energy (eV per atom) = -4.95

---

Record 6
# NdSmBi2 | the Alexandria database | PBE | relaxed
data_NdSmBi2
_symmetry_space_group_name_H-M 'P 1'
_symmetry_Int_Tables_number 1
_cell_length_a 4.585
_cell_length_b 4.585
_cell_length_c 7.936
_cell_angle_alpha 106.86
_cell_angle_beta 106.86
_cell_angle_gamma 60.06
loop_
_symmetry_equiv_pos_as_xyz
'x,y,z'
loop_
_atom_site_label
_atom_site_type_symbol
_atom_site_fract_x
_atom_site_fract_y
_atom_site_fract_z
Nd1 Nd 0.000 0.000 0.000
Sm1 Sm 0.500 0.500 0.500
Bi1 Bi 0.249 0.249 0.747
Bi2 Bi 0.751 0.751 0.253
# - calculated formation energy (meV per atom) = -937
# - space-group type = C2/m (12)
# - raw total energy (eV per atom) = -5.25

---

Record 7
# Ce3Ga3Si2 | the Alexandria database | PBE | relaxed
data_Ce3Ga3Si2
_symmetry_space_group_name_H-M 'P 1'
_symmetry_Int_Tables_number 1
_cell_length_a 9.185
_cell_length_b 9.185
_cell_length_c 5.233
_cell_angle_alpha 106.22
_cell_angle_beta 106.22
_cell_angle_gamma 24.42
loop_
_symmetry_equiv_pos_as_xyz
'x,y,z'
loop_
_atom_site_label
_atom_site_type_symbol
_atom_site_fract_x
_atom_site_fract_y
_atom_site_fract_z
Ce1 Ce 0.000 0.000 0.000
Ce2 Ce 0.150 0.150 0.767
Ce3 Ce 0.850 0.850 0.233
Ga1 Ga 0.364 0.364 0.750
Ga2 Ga 0.500 0.500 0.500
Ga3 Ga 0.636 0.636 0.250
Si1 Si 0.236 0.236 0.342
Si2 Si 0.764 0.764 0.658
# - E_form (uncorrected) (eV per formula unit) = -3.5
# - space-group type = C2/m (12)
# - raw total energy (eV per atom) = -5.15

---

Record 8
# Sm2CuAs3Pt4 | the Alexandria database | PBE | relaxed
data_Sm2CuAs3Pt4
_symmetry_space_group_name_H-M 'P 1'
_symmetry_Int_Tables_number 1
_cell_length_a 4.377
_cell_length_b 4.377
_cell_length_c 9.967
_cell_angle_alpha 90.00
_cell_angle_beta 90.00
_cell_angle_gamma 90.00
loop_
_symmetry_equiv_pos_as_xyz
'x,y,z'
loop_
_atom_site_label
_atom_site_type_symbol
_atom_site_fract_x
_atom_site_fract_y
_atom_site_fract_z
Sm1 Sm 0.000 0.500 0.249
Sm2 Sm 0.500 0.000 0.751
Cu1 Cu 0.000 0.000 0.500
As1 As 0.000 0.500 0.865
As2 As 0.500 0.000 0.135
As3 As 0.500 0.500 0.500
Pt1 Pt 0.000 0.000 0.000
Pt2 Pt 0.000 0.500 0.622
Pt3 Pt 0.500 0.000 0.378
Pt4 Pt 0.500 0.500 0.000
# - calculated formation energy (meV per atom) = -806
# - space-group type = P-4m2 (115)
# - raw total energy (eV per atom) = -5.97

---

Record 9
# Sm5Ho2Tl4 | the Alexandria database | PBE | relaxed
data_Sm5Ho2Tl4
_symmetry_space_group_name_H-M 'P 1'
_symmetry_Int_Tables_number 1
_cell_length_a 11.839
_cell_length_b 11.839
_cell_length_c 8.391
_cell_angle_alpha 102.27
_cell_angle_beta 102.27
_cell_angle_gamma 17.54
loop_
_symmetry_equiv_pos_as_xyz
'x,y,z'
loop_
_atom_site_label
_atom_site_type_symbol
_atom_site_fract_x
_atom_site_fract_y
_atom_site_fract_z
Sm1 Sm 0.000 0.000 0.000
Sm2 Sm 0.323 0.323 0.545
Sm3 Sm 0.375 0.375 0.011
Sm4 Sm 0.625 0.625 0.989
Sm5 Sm 0.677 0.677 0.455
Ho1 Ho 0.229 0.229 0.820
Ho2 Ho 0.771 0.771 0.180
Tl1 Tl 0.089 0.089 0.651
Tl2 Tl 0.469 0.469 0.670
Tl3 Tl 0.531 0.531 0.330
Tl4 Tl 0.911 0.911 0.349
# - calculated formation energy (meV per atom) = -4
# - space-group type = C2/m (12)
# - raw total energy (eV per atom) = -3.84

---

Record 10
# InPb2 | the Alexandria database | PBE | relaxed
data_InPb2
_symmetry_space_group_name_H-M 'P 1'
_symmetry_Int_Tables_number 1
_cell_length_a 3.534
_cell_length_b 3.534
_cell_length_c 14.469
_cell_angle_alpha 90.00
_cell_angle_beta 90.00
_cell_angle_gamma 90.00
loop_
_symmetry_equiv_pos_as_xyz
'x,y,z'
loop_
_atom_site_label
_atom_site_type_symbol
_atom_site_fract_x
_atom_site_fract_y
_atom_site_fract_z
In1 In 0.000 0.000 0.163
In2 In 0.000 0.000 0.837
Pb1 Pb 0.000 0.000 0.500
Pb2 Pb 0.500 0.500 0.000
Pb3 Pb 0.500 0.500 0.329
Pb4 Pb 0.500 0.500 0.671
# - calculated formation energy (meV per atom) = 3
# - space-group type = P4/mmm (123)
# - raw total energy (eV per atom) = -3.38

---

Record 11
# Ta4RhW | the Alexandria database | PBE | relaxed
data_Ta4RhW
_symmetry_space_group_name_H-M 'P 1'
_symmetry_Int_Tables_number 1
_cell_length_a 3.249
_cell_length_b 3.249
_cell_length_c 9.763
_cell_angle_alpha 90.00
_cell_angle_beta 90.00
_cell_angle_gamma 90.00
loop_
_symmetry_equiv_pos_as_xyz
'x,y,z'
loop_
_atom_site_label
_atom_site_type_symbol
_atom_site_fract_x
_atom_site_fract_y
_atom_site_fract_z
Ta1 Ta 0.000 0.000 0.163
Ta2 Ta 0.000 0.000 0.837
Ta3 Ta 0.500 0.500 0.335
Ta4 Ta 0.500 0.500 0.665
Rh1 Rh 0.500 0.500 0.000
W1 W 0.000 0.000 0.500
# - calculated formation energy (meV per atom) = -224
# - space-group type = P4/mmm (123)
# - raw total energy (eV per atom) = -11.51

---

Record 12
# NiMoHIr2 | the Alexandria database | PBE | relaxed
data_NiMoHIr2
_symmetry_space_group_name_H-M 'P 1'
_symmetry_Int_Tables_number 1
_cell_length_a 3.934
_cell_length_b 3.934
_cell_length_c 3.784
_cell_angle_alpha 90.00
_cell_angle_beta 90.00
_cell_angle_gamma 90.00
loop_
_symmetry_equiv_pos_as_xyz
'x,y,z'
loop_
_atom_site_label
_atom_site_type_symbol
_atom_site_fract_x
_atom_site_fract_y
_atom_site_fract_z
Ni1 Ni 0.000 0.000 0.000
Mo1 Mo 0.500 0.500 0.000
H1 H 0.000 0.000 0.500
Ir1 Ir 0.000 0.500 0.500
Ir2 Ir 0.500 0.000 0.500
# - space-group type = P4/mmm (123)
# - raw total energy (eV per atom) = -7.50

---

Record 13
# LiAl4Mo | the Alexandria database | PBE | relaxed
data_LiAl4Mo
_symmetry_space_group_name_H-M 'P 1'
_symmetry_Int_Tables_number 1
_cell_length_a 7.220
_cell_length_b 4.793
_cell_length_c 5.448
_cell_angle_alpha 90.00
_cell_angle_beta 95.67
_cell_angle_gamma 90.00
loop_
_symmetry_equiv_pos_as_xyz
'x,y,z'
loop_
_atom_site_label
_atom_site_type_symbol
_atom_site_fract_x
_atom_site_fract_y
_atom_site_fract_z
Li1 Li 0.000 0.081 0.250
Li2 Li 0.000 0.919 0.750
Al1 Al 0.170 0.412 0.926
Al2 Al 0.170 0.588 0.426
Al3 Al 0.334 0.066 0.576
Al4 Al 0.334 0.934 0.076
Al5 Al 0.666 0.066 0.924
Al6 Al 0.666 0.934 0.424
Al7 Al 0.830 0.412 0.574
Al8 Al 0.830 0.588 0.074
Mo1 Mo 0.500 0.455 0.250
Mo2 Mo 0.500 0.545 0.750
# - calculated formation energy (meV per atom) = -98
# - space-group type = P2/c (13)
# - raw total energy (eV per atom) = -4.72

---

Record 14
# AcNbAl2 | the Alexandria database | PBE | relaxed
data_AcNbAl2
_symmetry_space_group_name_H-M 'P 1'
_symmetry_Int_Tables_number 1
_cell_length_a 10.145
_cell_length_b 10.145
_cell_length_c 10.145
_cell_angle_alpha 18.59
_cell_angle_beta 18.59
_cell_angle_gamma 18.59
loop_
_symmetry_equiv_pos_as_xyz
'x,y,z'
loop_
_atom_site_label
_atom_site_type_symbol
_atom_site_fract_x
_atom_site_fract_y
_atom_site_fract_z
Ac1 Ac 0.000 0.000 0.000
Nb1 Nb 0.500 0.500 0.500
Al1 Al 0.237 0.237 0.237
Al2 Al 0.763 0.763 0.763
# - calculated formation energy (meV per atom) = 260
# - space-group type = R-3m (166)
# - raw total energy (eV per atom) = -5.16

---

Record 15
# SrMg3Cu | the Alexandria database | PBE | relaxed
data_SrMg3Cu
_symmetry_space_group_name_H-M 'P 1'
_symmetry_Int_Tables_number 1
_cell_length_a 5.885
_cell_length_b 6.217
_cell_length_c 7.451
_cell_angle_alpha 90.00
_cell_angle_beta 113.16
_cell_angle_gamma 90.00
loop_
_symmetry_equiv_pos_as_xyz
'x,y,z'
loop_
_atom_site_label
_atom_site_type_symbol
_atom_site_fract_x
_atom_site_fract_y
_atom_site_fract_z
Sr1 Sr 0.201 0.250 0.135
Sr2 Sr 0.799 0.750 0.865
Mg1 Mg 0.229 0.007 0.702
Mg2 Mg 0.229 0.493 0.702
Mg3 Mg 0.323 0.750 0.376
Mg4 Mg 0.677 0.250 0.624
Mg5 Mg 0.771 0.507 0.298
Mg6 Mg 0.771 0.993 0.298
Cu1 Cu 0.387 0.750 0.035
Cu2 Cu 0.613 0.250 0.965
# - calculated formation energy (meV per atom) = -56
# - space-group type = P2_1/m (11)
# - raw total energy (eV per atom) = -2.17

---

Record 16
# CsAl2Pt2 | the Alexandria database | PBE | relaxed
data_CsAl2Pt2
_symmetry_space_group_name_H-M 'P 1'
_symmetry_Int_Tables_number 1
_cell_length_a 8.275
_cell_length_b 8.275
_cell_length_c 2.932
_cell_angle_alpha 90.00
_cell_angle_beta 90.00
_cell_angle_gamma 90.00
loop_
_symmetry_equiv_pos_as_xyz
'x,y,z'
loop_
_atom_site_label
_atom_site_type_symbol
_atom_site_fract_x
_atom_site_fract_y
_atom_site_fract_z
Cs1 Cs 0.000 0.000 0.000
Cs2 Cs 0.500 0.500 0.000
Al1 Al 0.118 0.382 0.000
Al2 Al 0.382 0.882 0.000
Al3 Al 0.618 0.118 0.000
Al4 Al 0.882 0.618 0.000
Pt1 Pt 0.156 0.656 0.500
Pt2 Pt 0.344 0.156 0.500
Pt3 Pt 0.656 0.844 0.500
Pt4 Pt 0.844 0.344 0.500
# - calculated formation energy (meV per atom) = -265
# - space-group type = P4/mbm (127)
# - raw total energy (eV per atom) = -4.35

---

Record 17
# In4PCl | the Alexandria database | PBE | relaxed
data_In4PCl
_symmetry_space_group_name_H-M 'P 1'
_symmetry_Int_Tables_number 1
_cell_length_a 6.125
_cell_length_b 6.125
_cell_length_c 6.125
_cell_angle_alpha 60.00
_cell_angle_beta 60.00
_cell_angle_gamma 60.00
loop_
_symmetry_equiv_pos_as_xyz
'x,y,z'
loop_
_atom_site_label
_atom_site_type_symbol
_atom_site_fract_x
_atom_site_fract_y
_atom_site_fract_z
In1 In 0.125 0.125 0.125
In2 In 0.125 0.125 0.626
In3 In 0.125 0.626 0.125
In4 In 0.626 0.125 0.125
P1 P 0.750 0.750 0.750
Cl1 Cl 0.500 0.500 0.500
# - E_form (uncorrected) (eV per formula unit) = 1.5
# - space-group type = F-43m (216)
# - raw total energy (eV per atom) = -2.79

---

Record 18
# Be2WCl | the Alexandria database | PBE | relaxed
data_Be2WCl
_symmetry_space_group_name_H-M 'P 1'
_symmetry_Int_Tables_number 1
_cell_length_a 4.812
_cell_length_b 4.812
_cell_length_c 4.812
_cell_angle_alpha 137.72
_cell_angle_beta 137.72
_cell_angle_gamma 61.33
loop_
_symmetry_equiv_pos_as_xyz
'x,y,z'
loop_
_atom_site_label
_atom_site_type_symbol
_atom_site_fract_x
_atom_site_fract_y
_atom_site_fract_z
Be1 Be 0.250 0.750 0.500
Be2 Be 0.750 0.250 0.500
W1 W 0.000 0.000 0.000
Cl1 Cl 0.500 0.500 0.000
# - E_form (uncorrected) (eV per formula unit) = 3.9
# - space-group type = I4/mmm (139)
# - raw total energy (eV per atom) = -4.58

---

Record 19
# Ce2BiP | the Alexandria database | PBE | relaxed
data_Ce2BiP
_symmetry_space_group_name_H-M 'P 1'
_symmetry_Int_Tables_number 1
_cell_length_a 4.257
_cell_length_b 7.398
_cell_length_c 7.604
_cell_angle_alpha 90.00
_cell_angle_beta 90.00
_cell_angle_gamma 90.00
loop_
_symmetry_equiv_pos_as_xyz
'x,y,z'
loop_
_atom_site_label
_atom_site_type_symbol
_atom_site_fract_x
_atom_site_fract_y
_atom_site_fract_z
Ce1 Ce 0.250 0.009 0.217
Ce2 Ce 0.250 0.491 0.217
Ce3 Ce 0.750 0.509 0.783
Ce4 Ce 0.750 0.991 0.783
Bi1 Bi 0.250 0.250 0.576
Bi2 Bi 0.750 0.750 0.424
P1 P 0.250 0.750 0.919
P2 P 0.750 0.250 0.081
# - calculated formation energy (meV per atom) = -925
# - space-group type = Pmmn (59)
# - raw total energy (eV per atom) = -6.21

---

Record 20
# Li3In2Bi4 | the Alexandria database | PBE | relaxed
data_Li3In2Bi4
_symmetry_space_group_name_H-M 'P 1'
_symmetry_Int_Tables_number 1
_cell_length_a 3.459
_cell_length_b 5.011
_cell_length_c 14.037
_cell_angle_alpha 95.00
_cell_angle_beta 96.24
_cell_angle_gamma 92.26
loop_
_symmetry_equiv_pos_as_xyz
'x,y,z'
loop_
_atom_site_label
_atom_site_type_symbol
_atom_site_fract_x
_atom_site_fract_y
_atom_site_fract_z
Li1 Li 0.000 0.000 0.000
Li2 Li 0.466 0.153 0.415
Li3 Li 0.534 0.847 0.585
In1 In 0.021 0.880 0.775
In2 In 0.979 0.120 0.225
Bi1 Bi 0.048 0.358 0.600
Bi2 Bi 0.470 0.427 0.888
Bi3 Bi 0.530 0.573 0.112
Bi4 Bi 0.952 0.642 0.400
# - calculated formation energy (meV per atom) = -192
# - space-group type = P-1 (2)
# - raw total energy (eV per atom) = -3.16